Density functional theory data (PBE) for a relaxed structure of NbFeB.

Cell: 5.9983 5.9983 3.2027 Å, 90.00 90.00 120.00°
Each line ends with the local moment (μB).
Element x y z (fractional)
Fe  0.7618  0.7618  0.0000  0.33
Fe  0.2382  0.0000  0.0000  0.33
Nb  0.0000  0.5884  0.5000  -0.02
B  0.3333  0.6667  0.0000  -0.01
B  0.6667  0.3333  0.0000  -0.01
Fe  0.0000  0.2382  0.0000  0.33
Nb  0.5884  0.0000  0.5000  -0.02
Nb  0.4116  0.4116  0.5000  -0.02
B  0.0000  0.0000  0.5000  -0.01

The calculation puts the formation energy at -0.55 eV/atom. As for the symmetry: P-62m (189).

=====

Density functional theory data (PBE) for a relaxed structure of Nb2Fe3B2.

Cell: 3.1985 3.0643 8.4688 Å, 100.42 90.00 90.00°
Each line ends with the local moment (μB).
Element x y z (fractional)
Fe  0.5000  0.5779  0.1557  2.00
B  0.5000  0.7218  0.4436  0.00
B  0.5000  0.2782  0.5564  0.00
Nb  0.0000  0.8299  0.6598  -0.23
Fe  0.5000  0.4221  0.8443  2.00
Nb  0.0000  0.1701  0.3402  -0.23
Fe  0.0000  0.0000  0.0000  2.64

The calculation puts the formation energy at -0.38 eV/atom. As for the symmetry: Cmmm (65).

=====

Density functional theory data (PBE) for a relaxed structure of NbFe6B6.

Cell: 4.2196 5.5435 5.5435 Å, 81.01 67.63 67.63°
Each line ends with the local moment (μB).
Element x y z (fractional)
B  0.5000  0.5000  0.0000  -0.02
Fe  0.3476  0.6524  0.6524  1.05
Fe  0.0000  0.3429  0.6571  0.67
B  0.5000  0.0000  0.5000  -0.02
Fe  0.6901  0.8099  0.8099  0.08
B  0.5000  0.2308  0.7692  -0.02
Fe  0.0000  0.6571  0.3429  0.67
Fe  0.6524  0.3476  0.3476  1.05
B  0.5000  0.7692  0.2308  -0.02
Nb  0.0000  0.0000  0.0000  -0.06
Fe  0.3099  0.1901  0.1901  0.08
B  0.0000  0.0000  0.5000  -0.02
B  0.0000  0.5000  0.0000  -0.02

The calculation puts the formation energy at -0.07 eV/atom. As for the symmetry: Immm (71).

=====

Density functional theory data (PBE) for a relaxed structure of Nb2Fe4B.

Cell: 3.7036 3.7036 7.1362 Å, 74.96 74.96 90.00°
Each line ends with the local moment (μB).
Element x y z (fractional)
Fe  0.0000  0.5000  0.0000  1.35
Nb  0.3289  0.3289  0.3422  -0.30
Fe  0.1443  0.1443  0.7114  0.91
Nb  0.6711  0.6711  0.6578  -0.30
Fe  0.8557  0.8557  0.2886  0.91
B  0.0000  0.0000  0.0000  -0.09
Fe  0.5000  0.0000  0.0000  1.35

The calculation puts the formation energy at 0.16 eV/atom. As for the symmetry: I4/mmm (139).

=====

Density functional theory data (PBE) for a relaxed structure of NbFeB.

Cell: 3.1990 3.1990 12.2602 Å, 90.00 90.00 120.00°
Element x y z (fractional)
Fe  0.3333  0.6667  0.8208
Nb  0.3333  0.6667  0.3146
B  0.6667  0.3333  0.7698
Nb  0.6667  0.3333  0.9813
Nb  0.0000  0.0000  0.6479
B  0.0000  0.0000  0.4365
B  0.3333  0.6667  0.1031
Fe  0.6667  0.3333  0.4875
Fe  0.0000  0.0000  0.1541

The calculation puts the formation energy at -0.20 eV/atom. As for the symmetry: R3m (160).

=====

Density functional theory data (PBE) for a relaxed structure of NbFe4B2.

Cell: 3.3846 3.3876 6.2998 Å, 105.60 90.00 90.00°
Element x y z (fractional)
Nb  0.0000  0.0000  0.0000
B  0.5000  0.5736  0.1471
Fe  0.5000  0.1815  0.3629
B  0.5000  0.4264  0.8529
Fe  0.5000  0.8185  0.6371
Fe  0.0000  0.3177  0.6353
Fe  0.0000  0.6823  0.3647

The calculation puts the formation energy at -0.30 eV/atom. As for the symmetry: Cmmm (65).

=====

Density functional theory data (PBE) for a relaxed structure of NbFe3B.

Cell: 4.4989 4.4989 4.4989 Å, 90.00 90.00 90.00°
Each line ends with the local moment (μB).
Element x y z (fractional)
Fe  0.0000  0.0000  0.5000  2.21
Nb  0.0000  0.0000  0.0000  -0.77
Fe  0.5000  0.0000  0.0000  1.85
Fe  0.0000  0.5000  0.0000  2.04
B  0.5000  0.5000  0.5000  0.00

The calculation puts the formation energy at 2.33 eV/atom. The calculation puts the offset from the most stable computed form at 2.480 eV per atom. As for the symmetry: Pm-3m (221).

=====

Density functional theory data (PBE) for a relaxed structure of Nb2Fe21B6.

Cell: 7.5424 7.5424 7.5424 Å, 60.00 60.00 60.00°
Each line ends with the local moment (μB).
Element x y z (fractional)
Fe  0.3841  0.3841  0.8476  1.69
Fe  0.3841  0.3841  0.3841  1.69
Fe  0.6583  0.0000  0.3417  2.16
Fe  0.3417  0.0000  0.6583  2.16
Fe  0.6159  0.6159  0.6159  1.69
Fe  0.8476  0.3841  0.3841  1.69
Fe  0.3417  0.0000  0.0000  2.16
B  0.7261  0.2739  0.7261  -0.15
B  0.7261  0.2739  0.2739  -0.15
Fe  0.3417  0.6583  0.0000  2.16
Fe  0.1524  0.6159  0.6159  1.69
Fe  0.6583  0.0000  0.0000  2.16
Fe  0.0000  0.0000  0.6583  2.16
Fe  0.0000  0.3417  0.6583  2.16
B  0.2739  0.7261  0.2739  -0.15
Fe  0.0000  0.6583  0.3417  2.16
B  0.2739  0.2739  0.7261  -0.15
Fe  0.0000  0.0000  0.0000  2.66
B  0.7261  0.7261  0.2739  -0.15
Fe  0.6583  0.3417  0.0000  2.16
B  0.2739  0.7261  0.7261  -0.15
Fe  0.0000  0.3417  0.0000  2.16
Nb  0.7500  0.7500  0.7500  -0.75
Fe  0.0000  0.6583  0.0000  2.16
Fe  0.6159  0.1524  0.6159  1.69
Nb  0.2500  0.2500  0.2500  -0.75
Fe  0.6159  0.6159  0.1524  1.69
Fe  0.3841  0.8476  0.3841  1.69
Fe  0.0000  0.0000  0.3417  2.16

The calculation puts the formation energy at -0.25 eV/atom. As for the symmetry: Fm-3m (225).

=====

Density functional theory data (PBE) for a relaxed structure of NbFe2B4.

Cell: 3.0083 3.1765 6.6840 Å, 103.75 103.01 90.00°
Each line ends with the local moment (μB).
Element x y z (fractional)
B  0.3484  0.3484  0.6968  -0.03
Fe  0.8139  0.8139  0.6278  1.00
B  0.9245  0.4245  0.8491  -0.02
Nb  0.5000  0.0000  0.0000  0.00
B  0.0755  0.5755  0.1509  -0.02
B  0.6516  0.6516  0.3032  -0.03
Fe  0.1861  0.1861  0.3722  1.00

The calculation puts the formation energy at -0.50 eV/atom. As for the symmetry: Immm (71).

=====

Density functional theory data (PBE) for a relaxed structure of NbFeB.

Cell: 6.7053 3.0065 8.6430 Å, 90.00 127.08 90.00°
Each line ends with the local moment (μB).
Element x y z (fractional)
Fe  0.6687  0.5000  0.4762  1.17
Fe  0.6687  0.0000  0.9762  1.17
B  0.6357  0.5000  0.7749  -0.05
Fe  0.4168  0.0000  0.5784  1.19
Fe  0.4168  0.5000  0.0784  1.19
Nb  0.2390  0.5000  0.7269  -0.19
B  0.9091  0.0000  0.5199  -0.02
B  0.6357  0.0000  0.2749  -0.05
Nb  0.9360  0.0000  0.8129  -0.09
Nb  0.2390  0.0000  0.2269  -0.19
B  0.9091  0.5000  0.0199  -0.02
Nb  0.9360  0.5000  0.3129  -0.09

The calculation puts the formation energy at -0.30 eV/atom. As for the symmetry: Cm (8).

=====

Density functional theory data (PBE) for a relaxed structure of Nb2FeB2Ru5.

Cell: 2.9860 9.3153 9.3153 Å, 90.00 90.00 90.00°
Each line ends with the local moment (μB).
Element x y z (fractional)
Nb  0.0000  0.6771  0.1771  -0.06
B  0.0000  0.1245  0.6245  0.01
Ru  0.5000  0.2141  0.0702  0.12
Fe  0.0000  0.0000  0.0000  2.86
B  0.0000  0.8755  0.3755  0.01
Ru  0.5000  0.0702  0.7859  0.12
Ru  0.5000  0.5000  0.0000  -0.02
Ru  0.5000  0.5702  0.7141  0.12
Nb  0.0000  0.8229  0.6771  -0.06
Ru  0.5000  0.4298  0.2859  0.12
B  0.0000  0.3755  0.1245  0.01
Fe  0.0000  0.5000  0.5000  2.86
Ru  0.5000  0.2859  0.5702  0.12
Nb  0.0000  0.3229  0.8229  -0.06
B  0.0000  0.6245  0.8755  0.01
Ru  0.5000  0.0000  0.5000  -0.02
Ru  0.5000  0.7859  0.9298  0.12
Ru  0.5000  0.7141  0.4298  0.12
Nb  0.0000  0.1771  0.3229  -0.06
Ru  0.5000  0.9298  0.2141  0.12

The calculation puts the formation energy at -0.38 eV/atom. As for the symmetry: P4/mbm (127).

=====

Density functional theory data (PBE) for a relaxed structure of Sc2NbFe5B2.

Cell: 2.9697 8.9513 8.9513 Å, 90.00 90.00 90.00°
Each line ends with the local moment (μB).
Element x y z (fractional)
B  0.0000  0.3811  0.1189  -0.04
Fe  0.5000  0.2765  0.5688  0.60
Sc  0.0000  0.1754  0.3246  -0.10
B  0.0000  0.8811  0.3811  -0.04
Fe  0.5000  0.7765  0.9312  0.60
Nb  0.0000  0.5000  0.5000  -0.22
Fe  0.5000  0.0688  0.7765  0.60
Fe  0.5000  0.2235  0.0688  0.60
Fe  0.5000  0.4312  0.2765  0.60
Fe  0.5000  0.9312  0.2235  0.60
B  0.0000  0.6189  0.8811  -0.04
Sc  0.0000  0.6754  0.1754  -0.10
Fe  0.5000  0.7235  0.4312  0.60
Fe  0.5000  0.5000  0.0000  0.47
Fe  0.5000  0.0000  0.5000  0.47
Sc  0.0000  0.3246  0.8246  -0.10
Nb  0.0000  0.0000  0.0000  -0.22
Sc  0.0000  0.8246  0.6754  -0.10
Fe  0.5000  0.5688  0.7235  0.60
B  0.0000  0.1189  0.6189  -0.04

The calculation puts the formation energy at -0.32 eV/atom. As for the symmetry: P4/mbm (127).

=====

Density functional theory data (PBE) for a relaxed structure of Nb2Fe5SiB2.

Cell: 2.8666 8.6675 8.6675 Å, 90.00 90.00 90.00°
Element x y z (fractional)
Nb  0.0000  0.1765  0.3235
Si  0.0000  0.5000  0.5000
Nb  0.0000  0.3235  0.8235
Nb  0.0000  0.6765  0.1765
B  0.0000  0.8780  0.3780
B  0.0000  0.6220  0.8780
B  0.0000  0.3780  0.1220
Fe  0.5000  0.0664  0.7853
Fe  0.5000  0.7147  0.4336
Fe  0.5000  0.5664  0.7147
Fe  0.5000  0.7853  0.9336
Si  0.0000  0.0000  0.0000
Fe  0.5000  0.2853  0.5664
Fe  0.5000  0.0000  0.5000
Nb  0.0000  0.8235  0.6765
B  0.0000  0.1220  0.6220
Fe  0.5000  0.2147  0.0664
Fe  0.5000  0.9336  0.2147
Fe  0.5000  0.5000  0.0000
Fe  0.5000  0.4336  0.2853

The formation energy without anion corrections comes out at -0.493 eV/atom. As for the symmetry: P4/mbm (127).

=====

Density functional theory data (PBE) for a relaxed structure of TaNb2Fe5B2.

Cell: 2.9621 8.8143 8.8143 Å, 90.00 90.00 90.00°
Each line ends with the local moment (μB).
Element x y z (fractional)
Fe  0.5000  0.2775  0.5704  0.10
Nb  0.0000  0.1750  0.3250  0.00
B  0.0000  0.8809  0.3809  0.00
Fe  0.5000  0.7225  0.4296  0.10
Ta  0.0000  0.0000  0.0000  -0.03
Fe  0.5000  0.5704  0.7225  0.10
Nb  0.0000  0.8250  0.6750  0.00
B  0.0000  0.6191  0.8809  0.00
Fe  0.5000  0.4296  0.2775  0.10
Fe  0.5000  0.0000  0.5000  -0.16
Fe  0.5000  0.7775  0.9296  0.10
Fe  0.5000  0.9296  0.2225  0.10
Nb  0.0000  0.3250  0.8250  0.00
B  0.0000  0.3809  0.1191  0.00
B  0.0000  0.1191  0.6191  0.00
Fe  0.5000  0.2225  0.0704  0.10
Fe  0.5000  0.5000  0.0000  -0.16
Fe  0.5000  0.0704  0.7775  0.10
Nb  0.0000  0.6750  0.1750  0.00
Ta  0.0000  0.5000  0.5000  -0.03

The calculation puts the formation energy at -0.39 eV/atom. As for the symmetry: P4/mbm (127).

=====

Density functional theory data (PBE) for a relaxed structure of Th2NbFe3B12.

Cell: 7.3644 7.3644 7.3644 Å, 51.19 51.19 51.19°
Each line ends with the local moment (μB).
Element x y z (fractional)
B  0.6654  0.6654  0.9491  0.02
B  0.4030  0.8873  0.8873  0.01
B  0.9491  0.6654  0.6654  0.02
Fe  0.0000  0.5000  0.0000  2.28
B  0.1127  0.1127  0.5970  0.01
B  0.3346  0.0509  0.3346  0.02
B  0.3346  0.3346  0.0509  0.02
Th  0.3824  0.3824  0.3824  0.08
B  0.0509  0.3346  0.3346  0.02
Nb  0.0000  0.0000  0.0000  0.25
B  0.6654  0.9491  0.6654  0.02
B  0.5970  0.1127  0.1127  0.01
Fe  0.5000  0.0000  0.0000  2.28
B  0.8873  0.8873  0.4030  0.01
Fe  0.0000  0.0000  0.5000  2.28
B  0.8873  0.4030  0.8873  0.01
B  0.1127  0.5970  0.1127  0.01
Th  0.6176  0.6176  0.6176  0.08

The calculation puts the formation energy at 0.14 eV/atom. As for the symmetry: R-3m (166).

=====

Density functional theory data (PBE) for a relaxed structure of Nb2VFe5B2.

Cell: 2.8957 8.7093 8.7093 Å, 90.00 90.00 90.00°
Each line ends with the local moment (μB).
Element x y z (fractional)
Nb  0.0000  0.1759  0.3241  0.00
V  0.0000  0.0000  0.0000  -0.07
Nb  0.0000  0.6759  0.1759  0.00
Fe  0.5000  0.2164  0.0686  0.12
Nb  0.0000  0.3241  0.8241  0.00
Fe  0.5000  0.4314  0.2836  0.12
Fe  0.5000  0.0686  0.7836  0.12
Fe  0.5000  0.2836  0.5686  0.12
V  0.0000  0.5000  0.5000  -0.07
Fe  0.5000  0.0000  0.5000  -0.20
B  0.0000  0.3792  0.1208  0.00
Nb  0.0000  0.8241  0.6759  0.00
B  0.0000  0.8792  0.3792  0.00
Fe  0.5000  0.5000  0.0000  -0.20
Fe  0.5000  0.7164  0.4314  0.12
B  0.0000  0.1208  0.6208  0.00
Fe  0.5000  0.5686  0.7164  0.12
Fe  0.5000  0.7836  0.9314  0.12
B  0.0000  0.6208  0.8792  0.00
Fe  0.5000  0.9314  0.2164  0.12

The calculation puts the formation energy at -0.40 eV/atom. As for the symmetry: P4/mbm (127).

=====

Density functional theory data (PBE) for a relaxed structure of Zr2NbFeB.

Cell: 4.7598 4.4143 4.7598 Å, 90.00 90.00 90.00°
Element x y z (fractional)
Fe  0.0000  0.0000  0.0000
Nb  0.0000  0.5000  0.0000
Zr  0.5000  0.0000  0.0000
B  0.5000  0.5000  0.5000
Zr  0.0000  0.0000  0.5000

The calculation puts the formation energy at 1.00 eV/atom. As for the symmetry: P4/mmm (123).

=====

Density functional theory data (PBE) for a relaxed structure of NdFeB.

Cell: 4.2340 3.5840 3.5840 Å, 120.00 90.00 90.00°
Element x y z (fractional)
Fe  0.1666  0.3333  0.6667
Nd  0.6668  0.6667  0.3333
B  0.1666  0.0000  0.0000

The calculation puts the formation energy at -0.05 eV/atom. The calculation puts the offset from the most stable computed form at 0.236 eV per atom. As for the symmetry: P-6m2 (187).

=====

Density functional theory data (PBE) for a relaxed structure of NdFeB.

Cell: 3.6089 3.6089 8.1089 Å, 90.00 90.00 90.00°
Each line ends with the local moment (μB).
Element x y z (fractional)
Fe  0.0000  0.0000  0.5000  0.74
B  0.0000  0.5000  0.3875  -0.05
Nd  0.5000  0.0000  0.2061  0.00
B  0.5000  0.0000  0.6125  -0.05
Nd  0.0000  0.5000  0.7939  0.00
Fe  0.5000  0.5000  0.5000  0.74

The calculation puts the formation energy at -0.29 eV/atom. The calculation puts the offset from the most stable computed form at 0.000 eV per atom. As for the symmetry: P4/nmm (129).